# 1
LaScPd6: relaxed, PBE.

Cell lengths 4.1599, 4.1599, 8.1000 Å; angles 90.00, 90.00, 90.00 degrees
With the nearest neighbours (Å) after each atom.
Element x y z (fractional)
La1 0.0000 0.0000 0.0000  12 Pd 2.94-3.00
Pd1 0.5000 0.0000 0.7336  8 Pd 2.81-3.00, 2 Sc 2.81, 2 La 3.00
Pd2 0.5000 0.0000 0.2664  2 Sc 2.81, 8 Pd 2.81-3.00, 2 La 3.00
Pd3 0.5000 0.5000 0.0000  4 La 2.94, 8 Pd 3.00
Pd4 0.0000 0.5000 0.2664  8 Pd 2.81-3.00, 2 Sc 2.81, 2 La 3.00
Pd5 0.5000 0.5000 0.5000  8 Pd 2.81, 4 Sc 2.94
Pd6 0.0000 0.5000 0.7336  2 Sc 2.81, 8 Pd 2.81-3.00, 2 La 3.00
Sc1 0.0000 0.0000 0.5000  12 Pd 2.81-2.94

Electronic total energy   -48.886 eV per cell
M_tot   0.00 μB per formula unit
DOS(E_F)   4.93 states/eV/f.u.

---

# 2
NiSb2C: relaxed, PBE.

Cell lengths 5.5998, 5.5998, 6.3715 Å; angles 63.93, 63.93, 90.00 degrees
With the nearest neighbours (Å) after each atom.
Element x y z (fractional)
Ni1 0.7500 0.2500 0.5000  4 Sb 2.45
Ni2 0.0000 0.0000 0.0000  4 Sb 2.45
C1 0.5000 0.5000 0.0000  4 Sb 2.24
C2 0.2500 0.7500 0.5000  4 Sb 2.24
Sb1 0.8750 0.8441 0.7500  2 C 2.24, 2 Ni 2.45
Sb2 0.5941 0.1250 0.2500  2 C 2.24, 2 Ni 2.45
Sb3 0.1559 0.6250 0.2500  2 C 2.24, 2 Ni 2.45
Sb4 0.3750 0.4059 0.7500  2 C 2.24, 2 Ni 2.45

Electronic total energy   -41.675 eV per cell
M_tot   0.00 μB per formula unit
DOS(E_F)   0.44 states/eV/f.u.
Raw formation energy   0.603 eV per atom

---

# 3
TaTi3Tl: relaxed, PBE.

Cell lengths 4.8543, 4.8543, 4.8543 Å; angles 90.00, 90.00, 90.00 degrees
With the nearest neighbours (Å) after each atom.
Element x y z (fractional)
Ti1 0.0000 0.5000 0.0000  2 Ta 2.43
Ti2 0.5000 0.0000 0.0000  2 Ta 2.43
Ti3 0.0000 0.0000 0.5000  2 Ta 2.43
Tl1 0.5000 0.5000 0.5000  12 Ti 3.43
Ta1 0.0000 0.0000 0.0000  6 Ti 2.43

Electronic total energy   -33.155 eV per cell
M_tot   0.55 μB per formula unit
Offset from the most stable computed form   890.8 meV/atom
DOS(E_F)   9.89 states/eV/f.u.

---

# 4
TlCuTe2: relaxed, PBE.

Cell lengths 7.6956, 9.6427, 4.1356 Å; angles 77.59, 122.83, 101.25 degrees
With the nearest neighbours (Å) after each atom.
Element x y z (fractional)
Tl1 0.0270 0.3070 0.5817  4 Te 3.34-3.51, 1 Cu 3.54
Tl2 0.3704 0.9734 0.0849  1 Cu 3.04, 2 Te 3.38-3.39
Te1 0.5101 0.5669 0.4316  3 Cu 2.62-2.67
Te2 0.6310 0.2124 0.7286  1 Te 2.87
Te3 0.0311 0.6080 0.9347  3 Cu 2.69-2.73
Te4 0.8519 0.9625 0.0762  2 Cu 2.58, 1 Te 2.87
Cu1 0.7668 0.6205 0.1626  4 Te 2.67-2.70, 2 Cu 2.72-2.73
Cu2 0.7509 0.8074 0.5520  4 Te 2.58-2.73, 2 Cu 2.72-2.73

Electronic total energy   -26.356 eV per cell
M_tot   0.00 μB per formula unit
DOS(E_F)   1.18 states/eV/f.u.
Raw formation energy   -0.108 eV per atom

---

# 5
Ce2ZnIn8: relaxed, PBE.

Cell lengths 4.8007, 4.8007, 12.2491 Å; angles 90.00, 90.00, 90.00 degrees
With the nearest neighbours (Å) after each atom.
Element x y z (fractional)
In1 0.5000 0.0000 0.8724  2 Zn 2.86, 1 In 3.13
In2 0.5000 0.5000 0.6880  8 In 3.30-3.33, 4 Ce 3.39
In3 0.0000 0.5000 0.5000  8 In 3.33-3.39, 4 Ce 3.34
In4 0.0000 0.5000 0.8724  2 Zn 2.86, 1 In 3.13
In5 0.5000 0.0000 0.5000  8 In 3.33-3.39, 4 Ce 3.34
In6 0.0000 0.5000 0.1276  2 Zn 2.86, 1 In 3.13
In7 0.5000 0.0000 0.1276  2 Zn 2.86, 1 In 3.13
In8 0.5000 0.5000 0.3120  8 In 3.30-3.33, 4 Ce 3.39
Ce1 0.0000 0.0000 0.6900  12 In 3.28-3.39
Ce2 0.0000 0.0000 0.3100  12 In 3.28-3.39
Zn1 0.0000 0.0000 0.0000  8 In 2.86

Electronic total energy   -38.079 eV per cell
M_tot   1.89 μB per formula unit
DOS(E_F)   13.50 states/eV/f.u.

---

# 6
NiHgBr2: relaxed, PBE.

Cell lengths 7.7314, 7.7314, 7.7314 Å; angles 150.66, 150.66, 41.98 degrees
With the nearest neighbours (Å) after each atom.
Element x y z (fractional)
Br1 0.0000 0.0000 0.0000  4 Hg 2.77
Br2 0.2500 0.7500 0.5000  4 Ni 2.77
Hg1 0.5000 0.5000 0.0000  4 Br 2.77
Ni1 0.7500 0.2500 0.5000  4 Br 2.77

Electronic total energy   -8.303 eV per cell
M_tot   0.88 μB per formula unit
Offset from the most stable computed form   519.6 meV/atom
DOS(E_F)   7.08 states/eV/f.u.
Raw formation energy   0.282 eV per atom

---

# 7
InSiTe: relaxed, PBE.

Cell lengths 4.8894, 4.8894, 4.8894 Å; angles 60.00, 60.00, 60.00 degrees
With the nearest neighbours (Å) after each atom.
Element x y z (fractional)
Si1 0.7500 0.7500 0.7500  4 In 2.99, 4 Te 2.99
Te1 0.0000 0.0000 0.0000  4 Si 2.99
In1 0.5000 0.5000 0.5000  4 Si 2.99

Electronic total energy   -10.214 eV per cell
M_tot   0.00 μB per formula unit
Offset from the most stable computed form   266.4 meV/atom
DOS(E_F)   1.82 states/eV/f.u.
Raw formation energy   0.363 eV per atom

---

# 8
KCrPb3: relaxed, PBE.

Cell lengths 5.3174, 5.3174, 5.3174 Å; angles 90.00, 90.00, 90.00 degrees
With the nearest neighbours (Å) after each atom.
Element x y z (fractional)
Pb1 0.5000 0.0000 0.0000  2 Cr 2.66
Pb2 0.0000 0.0000 0.5000  2 Cr 2.66
Pb3 0.0000 0.5000 0.0000  2 Cr 2.66
K1 0.5000 0.5000 0.5000  12 Pb 3.76
Cr1 0.0000 0.0000 0.0000  6 Pb 2.66

Electronic total energy   -20.591 eV per cell
M_tot   0.00 μB per formula unit
Offset from the most stable computed form   0.0 meV/atom
DOS(E_F)   5.06 states/eV/f.u.

---

# 9
TlGa2CoGe: relaxed, PBE.

Cell lengths 4.7154, 4.7154, 4.5386 Å; angles 90.00, 90.00, 90.00 degrees
With the nearest neighbours (Å) after each atom.
Element x y z (fractional)
Co1 0.0000 0.0000 0.0000  2 Ge 2.27, 4 Ga 2.36
Ge1 0.0000 0.0000 0.5000  2 Co 2.27
Tl1 0.5000 0.5000 0.5000  8 Ga 3.27, 4 Ge 3.33
Ga1 0.0000 0.5000 0.0000  2 Co 2.36
Ga2 0.5000 0.0000 0.0000  2 Co 2.36

Electronic total energy   -20.111 eV per cell
M_tot   0.00 μB per formula unit
DOS(E_F)   4.15 states/eV/f.u.

---

# 10
AgSe3: relaxed, PBE.

Cell lengths 5.3285, 5.4779, 6.2546 Å; angles 90.00, 90.00, 90.00 degrees
With the nearest neighbours (Å) after each atom.
Element x y z (fractional)
Se1 0.7558 0.0000 0.9985  4 Se 2.60-2.74, 1 Ag 2.85
Se2 0.2442 0.0000 0.9985  4 Se 2.60-2.74, 1 Ag 2.85
Se3 0.7442 0.5000 0.0015  4 Se 2.60-2.74, 1 Ag 2.85
Se4 0.5000 0.0000 0.5579  4 Ag 2.75-2.83, 2 Se 3.07
Se5 0.0000 0.5000 0.4421  4 Ag 2.75-2.83, 2 Se 3.07
Se6 0.2558 0.5000 0.0015  4 Se 2.60-2.74, 1 Ag 2.85
Ag1 0.5000 0.5000 0.5963  6 Se 2.75-2.85
Ag2 0.0000 0.0000 0.4037  6 Se 2.75-2.85

Electronic total energy   -25.069 eV per cell
M_tot   0.00 μB per formula unit
DOS(E_F)   2.72 states/eV/f.u.
Raw formation energy   0.193 eV per atom

---

# 11
Be5Ag: relaxed, PBE.

Cell lengths 2.6459, 2.6459, 8.3398 Å; angles 90.00, 90.00, 90.00 degrees
With the nearest neighbours (Å) after each atom.
Element x y z (fractional)
Be1 0.5000 0.5000 0.3572  9 Be 2.22-2.38
Be2 0.0000 0.0000 0.7884  5 Be 2.23-2.41
Be3 0.0000 0.0000 0.2116  5 Be 2.23-2.41
Be4 0.0000 0.0000 0.5000  10 Be 2.22-2.41
Be5 0.5000 0.5000 0.6428  9 Be 2.22-2.38
Ag1 0.5000 0.5000 0.0000  8 Be 2.57, 4 Ag 2.65

Electronic total energy   -20.668 eV per cell
M_tot   0.00 μB per formula unit
DOS(E_F)   0.84 states/eV/f.u.

---

# 12
KNi2Bi2: relaxed, PBE.

Cell lengths 8.3034, 8.3034, 3.3232 Å; angles 90.00, 90.00, 90.00 degrees
With the nearest neighbours (Å) after each atom.
Element x y z (fractional)
Ni1 0.6124 0.1124 0.0000  1 Ni 2.64, 4 Bi 2.77
Ni2 0.8876 0.6124 0.0000  1 Ni 2.64, 4 Bi 2.77
Ni3 0.1124 0.3876 0.0000  1 Ni 2.64, 4 Bi 2.77
Ni4 0.3876 0.8876 0.0000  1 Ni 2.64, 4 Bi 2.77
Bi1 0.1521 0.6521 0.5000  4 Ni 2.77
Bi2 0.6521 0.8479 0.5000  4 Ni 2.77
Bi3 0.3479 0.1521 0.5000  4 Ni 2.77
Bi4 0.8479 0.3479 0.5000  4 Ni 2.77
K1 0.5000 0.5000 0.0000  2 K 3.32, 4 Ni 3.35, 8 Bi 3.56
K2 0.0000 0.0000 0.0000  2 K 3.32, 4 Ni 3.35, 8 Bi 3.56

Electronic total energy   -39.640 eV per cell
M_tot   0.00 μB per formula unit
DOS(E_F)   2.76 states/eV/f.u.

---

What did the third record say?
TaTi3Tl: relaxed, PBE.

Cell lengths 4.8543, 4.8543, 4.8543 Å; angles 90.00, 90.00, 90.00 degrees
With the nearest neighbours (Å) after each atom.
Element x y z (fractional)
Ti1 0.0000 0.5000 0.0000  2 Ta 2.43
Ti2 0.5000 0.0000 0.0000  2 Ta 2.43
Ti3 0.0000 0.0000 0.5000  2 Ta 2.43
Tl1 0.5000 0.5000 0.5000  12 Ti 3.43
Ta1 0.0000 0.0000 0.0000  6 Ti 2.43

Electronic total energy   -33.155 eV per cell
M_tot   0.55 μB per formula unit
Offset from the most stable computed form   890.8 meV/atom
DOS(E_F)   9.89 states/eV/f.u.

---

Among the records above, which one has the lowest DOS(E_F)? NiSb2C

---

Copy entry 9 word for word.
TlGa2CoGe: relaxed, PBE.

Cell lengths 4.7154, 4.7154, 4.5386 Å; angles 90.00, 90.00, 90.00 degrees
With the nearest neighbours (Å) after each atom.
Element x y z (fractional)
Co1 0.0000 0.0000 0.0000  2 Ge 2.27, 4 Ga 2.36
Ge1 0.0000 0.0000 0.5000  2 Co 2.27
Tl1 0.5000 0.5000 0.5000  8 Ga 3.27, 4 Ge 3.33
Ga1 0.0000 0.5000 0.0000  2 Co 2.36
Ga2 0.5000 0.0000 0.0000  2 Co 2.36

Electronic total energy   -20.111 eV per cell
M_tot   0.00 μB per formula unit
DOS(E_F)   4.15 states/eV/f.u.

---

Which of these has the lowest electronic total energy? LaScPd6